## LiMnF2 (GGA+U)

Data for a relaxed structure of LiMnF2.

Geometry as CIF:
```
data_LiMnF2
_symmetry_space_group_name_H-M 'P 1'
_symmetry_Int_Tables_number 1
_cell_length_a 5.991
_cell_length_b 5.991
_cell_length_c 5.991
_cell_angle_alpha 34.69
_cell_angle_beta 34.69
_cell_angle_gamma 34.69
loop_
_symmetry_equiv_pos_as_xyz
'x,y,z'
loop_
_atom_site_label
_atom_site_type_symbol
_atom_site_fract_x
_atom_site_fract_y
_atom_site_fract_z
_atom_site_occupancy
Li1 Li 0.000 0.000 0.000 1
Mn1 Mn 0.500 0.500 0.500 1
F1 F 0.113 0.113 0.113 1
F2 F 0.887 0.887 0.887 1
```

Output
- Offset from the most stable computed form: 0.1860 eV per atom
- Final energy: -20.9 eV per formula unit
- D(E_F): 0.27 states/eV per atom